First-principles (PBE-GGA) data for a geometry-optimized NaGaGe structure, as listed in the Alexandria database.

Properties
The space group is R-3m, No. 166. As for the formation energy: -64 meV per atom. As for the uncorrected energy: -3.052 eV/atom.

Cell lengths 8.943, 8.943, 8.943 Å; angles 28.09, 28.09, 28.09 degrees
Atoms (fractional coordinates):
Ga1 0.127 0.127 0.127
Ga2 0.873 0.873 0.873
Na1 0.374 0.374 0.374
Na2 0.626 0.626 0.626
Ge1 0.234 0.234 0.234
Ge2 0.766 0.766 0.766